Material: CsSnHg
Method: DFT, PBE
State: optimized geometry

Unit cell a=5.9766 b=5.9766 c=5.9766 alpha=60.00 beta=60.00 gamma=60.00
With the nearest neighbours (Å) after each atom.
Element x y z (fractional)
Sn (0.7500, 0.7500, 0.7500)  4 Cs 3.66
Cs (0.0000, 0.0000, 0.0000)  4 Sn 3.66, 4 Hg 3.66
Hg (0.2500, 0.2500, 0.2500)  4 Cs 3.66

symmetry: F-43m (216)
E above lowest polymorph: 0.358 eV/atom



Material: NdTh2As3
Method: DFT, PBE
State: optimized geometry

Unit cell a=7.3790 b=7.3790 c=7.3790 alpha=146.49 beta=131.86 gamma=59.92
With the nearest neighbours (Å) after each atom.
Element x y z (fractional)
As (0.6685, 0.1685, 0.5000)  4 Th 3.00-3.01, 2 Nd 3.03
As (0.3315, 0.8315, 0.5000)  4 Th 3.00-3.01, 2 Nd 3.03
As (0.0000, 0.5000, 0.5000)  4 Th 3.00, 2 Nd 3.01
Th (0.8343, 0.8343, 0.0000)  6 As 3.00-3.01
Th (0.1657, 0.1657, 0.0000)  6 As 3.00-3.01
Nd (0.5000, 0.5000, 0.0000)  6 As 3.01-3.03

symmetry: Immm (71)
size of the total moment: 0.00 μB/atom
DFT total energy: -7.04 eV/atom



Material: MgBeInCo
Method: DFT, PBE
State: optimized geometry

Unit cell a=4.3457 b=4.3457 c=4.3457 alpha=60.00 beta=60.00 gamma=60.00
With the nearest neighbours (Å) after each atom.
Element x y z (fractional)
In (0.0000, 0.0000, 0.0000)  4 Co 2.66, 4 Be 2.66
Be (0.7500, 0.7500, 0.7500)  4 Mg 2.66, 4 In 2.66
Co (0.2500, 0.2500, 0.2500)  4 Mg 2.66, 4 In 2.66
Mg (0.5000, 0.5000, 0.5000)  4 Co 2.66, 4 Be 2.66

symmetry: F-43m (216)
size of the total moment: 0.00 μB/atom
E above lowest polymorph: 0.000 eV/atom



Material: La2PrZn3Ir2Pt
Method: DFT, PBE
State: optimized geometry

Unit cell a=4.0399 b=7.3944 c=7.3944 alpha=120.33 beta=90.00 gamma=90.00
With the nearest neighbours (Å) after each atom.
Element x y z (fractional)
La (0.0000, 0.4188, 0.0011)  4 Ir 2.97-3.00, 1 Pt 3.10, 2 Zn 3.24
La (0.0000, 0.0011, 0.4188)  4 Ir 2.97-3.00, 1 Pt 3.10, 2 Zn 3.24
Ir (0.5000, 0.6657, 0.3289)  3 Zn 2.86-2.88, 4 La 2.97-3.00, 2 Pr 3.03
Ir (0.5000, 0.3289, 0.6657)  3 Zn 2.86-2.88, 4 La 2.97-3.00, 2 Pr 3.03
Pt (0.0000, 0.9990, 0.9990)  6 Zn 2.68-2.70
Zn (0.5000, 0.2432, 0.2432)  2 Pt 2.70, 2 Ir 2.86
Zn (0.5000, 0.9986, 0.7601)  2 Pt 2.68, 2 Ir 2.86-2.88
Zn (0.5000, 0.7601, 0.9986)  2 Pt 2.68, 2 Ir 2.86-2.88
Pr (0.0000, 0.5845, 0.5845)  4 Ir 3.03, 1 Pt 3.05, 6 Zn 3.22-3.34

formation energy: -16.5 kcal/mol of atoms
symmetry: Amm2 (38)
size of the total moment: 0.00 μB/atom